[1]
! ThCdNi, relaxed, DFT PBE; values from VASP
! Mass density ... 10151 kg/m3
! DFT formation energy ... -0.16 eV/atom
! Space-group type ... P-6m2, No. 187
&SYSTEM
  ibrav = 0, nat = 3, ntyp = 3
/
ATOMIC_SPECIES
Th 232.04 Th.upf
Cd 112.41 Cd.upf
Ni 58.69 Ni.upf
CELL_PARAMETERS angstrom
4.646 0.000 0.000
-2.323 4.024 0.000
0.000 0.000 3.528
ATOMIC_POSITIONS crystal
Th 0.000 0.000 0.000
Cd 0.667 0.333 0.500
Ni 0.333 0.667 0.500

---

[2]
! ThCd2Ni9, relaxed, DFT PBE; values from VASP
! Mass density ... 9771 kg/m3
! DFT formation energy ... -0.21 eV/atom
! Space-group type ... R-3m, No. 166
&SYSTEM
  ibrav = 0, nat = 12, ntyp = 3
/
ATOMIC_SPECIES
Th 232.04 Th.upf
Cd 112.41 Cd.upf
Ni 58.69 Ni.upf
CELL_PARAMETERS angstrom
2.464 1.422 7.963
-2.464 1.422 7.963
0.000 -2.845 7.963
ATOMIC_POSITIONS crystal
Th 0.000 0.000 0.000
Cd 0.145 0.145 0.145
Cd 0.855 0.855 0.855
Ni 0.082 0.585 0.585
Ni 0.334 0.334 0.334
Ni 0.415 0.415 0.918
Ni 0.415 0.918 0.415
Ni 0.500 0.500 0.500
Ni 0.585 0.082 0.585
Ni 0.585 0.585 0.082
Ni 0.666 0.666 0.666
Ni 0.918 0.415 0.415

---

[3]
! Th3Cd5Ni2, relaxed, DFT PBE; values from VASP
! Mass density ... 9632 kg/m3
! DFT formation energy ... -0.10 eV/atom
! Space-group type ... Ibam, No. 72
&SYSTEM
  ibrav = 0, nat = 20, ntyp = 3
/
ATOMIC_SPECIES
Th 232.04 Th.upf
Cd 112.41 Cd.upf
Ni 58.69 Ni.upf
CELL_PARAMETERS angstrom
-5.686 6.295 3.313
5.686 -6.295 3.313
5.686 6.295 -3.313
ATOMIC_POSITIONS crystal
Th 0.150 0.746 0.896
Th 0.250 0.250 0.000
Th 0.350 0.246 0.596
Th 0.650 0.754 0.404
Th 0.750 0.750 0.000
Th 0.850 0.254 0.104
Cd 0.011 0.750 0.261
Cd 0.103 0.337 0.440
Cd 0.250 0.750 0.500
Cd 0.397 0.837 0.233
Cd 0.489 0.750 0.739
Cd 0.511 0.250 0.261
Cd 0.603 0.163 0.767
Cd 0.750 0.250 0.500
Cd 0.897 0.663 0.560
Cd 0.989 0.250 0.739
Ni 0.135 0.120 0.255
Ni 0.365 0.620 0.985
Ni 0.635 0.380 0.015
Ni 0.865 0.880 0.745

---

[4]
! Th4CdNi2, relaxed, DFT PBE; values from VASP
! Mass density ... 9967 kg/m3
! DFT formation energy ... -0.10 eV/atom
! Space-group type ... R-3m, No. 166
&SYSTEM
  ibrav = 0, nat = 7, ntyp = 3
/
ATOMIC_SPECIES
Th 232.04 Th.upf
Cd 112.41 Cd.upf
Ni 58.69 Ni.upf
CELL_PARAMETERS angstrom
2.079 1.200 12.884
-2.079 1.200 12.884
0.000 -2.401 12.884
ATOMIC_POSITIONS crystal
Th 0.106 0.106 0.106
Th 0.302 0.302 0.302
Th 0.698 0.698 0.698
Th 0.894 0.894 0.894
Cd 0.500 0.500 0.500
Ni 0.401 0.401 0.401
Ni 0.599 0.599 0.599